Record 1
## ZnNi2Br (meta-GGA SCAN)

Data for a PBEsol-optimized structure of ZnNi2Br.

Structure (CIF):
```
data_ZnNi2Br
_chemical_formula_sum 'Zn2 Ni4 Br2'
_space_group_name_H-M_alt 'I m m 2'
_space_group_IT_number 44
_cell_length_a 2.969
_cell_length_b 3.749
_cell_length_c 10.723
_cell_angle_alpha 90.00
_cell_angle_beta 90.00
_cell_angle_gamma 90.00
loop_
_space_group_symop_operation_xyz
'x,y,z'
'-x,-y,z'
'-x,y,z'
'x,-y,z'
'x+1/2,y+1/2,z+1/2'
'-x+1/2,-y+1/2,z+1/2'
'-x+1/2,y+1/2,z+1/2'
'x+1/2,-y+1/2,z+1/2'
loop_
_atom_site_label
_atom_site_type_symbol
_atom_site_fract_x
_atom_site_fract_y
_atom_site_fract_z
_atom_site_occupancy
Zn1 Zn 0.000 0.000 0.000 1
Ni1 Ni 0.000 0.000 0.451 1
Ni2 Ni 0.000 0.500 0.135 1
Br1 Br 0.000 0.500 0.766 1
```

Summary:
Density in g cm⁻³: 7.309
Formation energy without anion corrections in meV per atom: 240
Relative energy among the computed polymorphs in kJ per mole of atoms: 8.1
Uncorrected energy in eV for the cell shown: -128.7


Record 2
## HgAuN2F (meta-GGA SCAN)

Data for a PBEsol-optimized structure of HgAuN2F.

Structure (CIF):
```
data_HgAuN2F
_chemical_formula_sum 'Hg1 Au1 N2 F1'
_space_group_name_H-M_alt 'P 4/m m m'
_space_group_IT_number 123
_space_group_name_Hall '-P 4 2'
_cell_length_a 4.194
_cell_length_b 4.194
_cell_length_c 4.400
_cell_angle_alpha 90.00
_cell_angle_beta 90.00
_cell_angle_gamma 90.00
loop_
_atom_site_label
_atom_site_type_symbol
_atom_site_fract_x
_atom_site_fract_y
_atom_site_fract_z
_atom_site_occupancy
Hg1 Hg 0.000 0.000 0.000 1
Au1 Au 0.500 0.500 0.500 1
N1 N 0.000 0.500 0.000 1
F1 F 0.000 0.000 0.500 1
```

Summary:
Density in g cm⁻³: 9.537
Formation energy without anion corrections in meV per atom: 1601
Uncorrected energy in eV for the cell shown: -151.4